A relaxed structure of YHoPO, computed with PBE.

Calculated values
The calculated volume is 158 Å³/cell. The excess energy over the best structure of this formula in the dataset comes out at 0.43 eV/f.u.

Cell: 4.3102 4.3102 8.5296 Å, 90.00 90.00 90.00°
Space group P4/nmm (No. 129, origin choice 2)
Unique sites:
1 Y 0.2500 0.2500 0.1039
2 Ho 0.2500 0.7500 0.5000
3 P 0.2500 0.2500 0.6953
4 O 0.2500 0.7500 0.0000



A relaxed structure of Sc2TcHg, computed with PBE.

Calculated values
The calculation puts the formation enthalpy at 0 K at -268 meV/atom. The calculated volume is 150 Å³/cell.

Cell: 4.7504 6.6620 4.7505 Å, 90.00 90.00 90.00°
Space group Pmmn (No. 59, origin choice 2)
Unique sites:
1 Sc 0.2500 0.0000 0.2492
2 Tc 0.2500 0.2500 0.7496
3 Hg 0.2500 0.7500 0.7488



Q: Which of these has the highest calculated volume?
A: YHoPO



Q: Which formula does entry 1 have?
A: YHoPO



Q: Which of these has the lowest calculated volume?
A: Sc2TcHg